# BaPrSn6, optimized geometry, DFT PBE-GGA
# **E_tot**: -4.28 eV per atom
data_BaPrSn6
_chemical_formula_sum 'Ba1 Pr1 Sn6'
_cell_length_a 4.912
_cell_length_b 4.912
_cell_length_c 9.683
_cell_angle_alpha 90.00
_cell_angle_beta 90.00
_cell_angle_gamma 90.00
_symmetry_space_group_name_H-M 'P 4/m m m'
_symmetry_Int_Tables_number 123
_symmetry_space_group_name_Hall '-P 4 2'
loop_
_atom_site_label
_atom_site_fract_x
_atom_site_fract_y
_atom_site_fract_z
Ba1 0.000 0.000 0.000
Pr1 0.000 0.000 0.500
Sn1 0.000 0.500 0.259
Sn2 0.500 0.500 0.000
Sn3 0.500 0.500 0.500

---

# Pr7Nd12Sc, optimized geometry, DFT PBE-GGA
# **E_tot**: -4.23 eV per atom
data_Pr7Nd12Sc
_chemical_formula_sum 'Pr14 Nd24 Sc2'
_cell_length_a 11.687
_cell_length_b 11.687
_cell_length_c 11.687
_cell_angle_alpha 90.00
_cell_angle_beta 90.00
_cell_angle_gamma 90.00
_symmetry_space_group_name_H-M 'I m -3'
_symmetry_Int_Tables_number 204
_symmetry_space_group_name_Hall '-I 2 2 3'
loop_
_atom_site_label
_atom_site_fract_x
_atom_site_fract_y
_atom_site_fract_z
Pr1 0.000 0.000 0.500
Pr2 0.250 0.250 0.250
Nd1 0.000 0.243 0.243
Sc1 0.000 0.000 0.000

---

# LaPr4DyEr2, optimized geometry, DFT PBE-GGA
# **E_tot**: -4.70 eV per atom
data_LaPr4DyEr2
_chemical_formula_sum 'La1 Pr4 Dy1 Er2'
_cell_length_a 6.305
_cell_length_b 3.666
_cell_length_c 12.018
_cell_angle_alpha 90.00
_cell_angle_beta 100.19
_cell_angle_gamma 90.00
_symmetry_space_group_name_H-M 'P 1 2/m 1'
_symmetry_Int_Tables_number 10
loop_
_symmetry_equiv_pos_as_xyz
'x,y,z'
'-x,-y,-z'
'-x,y,-z'
'x,-y,z'
loop_
_atom_site_label
_atom_site_fract_x
_atom_site_fract_y
_atom_site_fract_z
La1 0.000 0.000 0.000
Pr1 0.251 0.000 0.747
Pr2 0.251 0.500 0.255
Dy1 0.500 0.500 0.000
Er1 0.000 0.500 0.500
Er2 0.500 0.000 0.500

---

# TcTePt, optimized geometry, DFT PBE-GGA
# **Formation energy from raw total energies**: 0.145 eV/atom
data_TcTePt
_chemical_formula_sum 'Tc4 Te4 Pt4'
_cell_length_a 6.222
_cell_length_b 6.222
_cell_length_c 6.222
_cell_angle_alpha 90.00
_cell_angle_beta 90.00
_cell_angle_gamma 90.00
_symmetry_space_group_name_H-M 'F -4 3 m'
_symmetry_Int_Tables_number 216
_symmetry_space_group_name_Hall 'F -4 2 3'
loop_
_atom_site_label
_atom_site_fract_x
_atom_site_fract_y
_atom_site_fract_z
Tc1 0.000 0.000 0.000
Te1 0.250 0.250 0.750
Pt1 0.250 0.250 0.250

---

# LiMg2ZnIn2, optimized geometry, DFT PBE-GGA
# **E_tot**: -2.08 eV per atom
data_LiMg2ZnIn2
_chemical_formula_sum 'Li2 Mg4 Zn2 In4'
_cell_length_a 4.394
_cell_length_b 9.071
_cell_length_c 6.286
_cell_angle_alpha 90.00
_cell_angle_beta 90.00
_cell_angle_gamma 90.00
_symmetry_space_group_name_H-M 'P m c 21'
_symmetry_Int_Tables_number 26
loop_
_symmetry_equiv_pos_as_xyz
'x,y,z'
'-x,-y,z+1/2'
'-x,y,z'
'x,-y,z+1/2'
loop_
_atom_site_label
_atom_site_fract_x
_atom_site_fract_y
_atom_site_fract_z
Li1 0.000 0.017 0.000
Mg1 0.000 0.316 0.506
Mg2 0.500 0.498 0.248
Zn1 0.500 0.171 0.749
In1 0.000 0.333 0.995
In2 0.500 0.142 0.269

---

# TiCdAs2Pd, optimized geometry, DFT PBE-GGA
# **E_tot**: -4.27 eV per atom
data_TiCdAs2Pd
_chemical_formula_sum 'Ti1 Cd1 As2 Pd1'
_cell_length_a 4.775
_cell_length_b 4.775
_cell_length_c 5.333
_cell_angle_alpha 90.00
_cell_angle_beta 90.00
_cell_angle_gamma 90.00
_symmetry_space_group_name_H-M 'P 4/m m m'
_symmetry_Int_Tables_number 123
_symmetry_space_group_name_Hall '-P 4 2'
loop_
_atom_site_label
_atom_site_fract_x
_atom_site_fract_y
_atom_site_fract_z
Ti1 0.000 0.000 0.000
Cd1 0.000 0.000 0.500
As1 0.000 0.500 0.000
Pd1 0.500 0.500 0.500

---

# Ho8Ru5Pt, optimized geometry, DFT PBE-GGA
# **E_tot**: -6.73 eV per atom
data_Ho8Ru5Pt
_chemical_formula_sum 'Ho16 Ru10 Pt2'
_cell_length_a 8.520
_cell_length_b 8.520
_cell_length_c 8.499
_cell_angle_alpha 90.00
_cell_angle_beta 90.00
_cell_angle_gamma 90.00
_symmetry_space_group_name_H-M 'I -4'
_symmetry_Int_Tables_number 82
loop_
_symmetry_equiv_pos_as_xyz
'x,y,z'
'y,-x,-z'
'-x,-y,z'
'-y,x,-z'
'x+1/2,y+1/2,z+1/2'
'y+1/2,-x+1/2,-z+1/2'
'-x+1/2,-y+1/2,z+1/2'
'-y+1/2,x+1/2,-z+1/2'
loop_
_atom_site_label
_atom_site_fract_x
_atom_site_fract_y
_atom_site_fract_z
Ho1 0.062 0.185 0.197
Ho2 0.072 0.321 0.568
Ru1 0.000 0.500 0.250
Ru2 0.125 0.252 0.885
Pt1 0.000 0.000 0.500

---

# CuTe2PbO7, optimized geometry, DFT PBE-GGA
# **Formation energy from raw total energies**: -0.966 eV/atom
data_CuTe2PbO7
_chemical_formula_sum 'Cu4 Te8 Pb4 O28'
_cell_length_a 7.277
_cell_length_b 15.577
_cell_length_c 5.533
_cell_angle_alpha 90.00
_cell_angle_beta 90.00
_cell_angle_gamma 90.00
_symmetry_space_group_name_H-M 'P b c m'
_symmetry_Int_Tables_number 57
loop_
_symmetry_equiv_pos_as_xyz
'x,y,z'
'-x,-y,-z'
'-x,-y,z+1/2'
'x,y,-z+1/2'
'x,-y+1/2,-z'
'-x,y+1/2,z'
'-x,y+1/2,-z+1/2'
'x,-y+1/2,z+1/2'
loop_
_atom_site_label
_atom_site_fract_x
_atom_site_fract_y
_atom_site_fract_z
Cu1 0.244 0.112 0.250
Te1 0.005 0.674 0.750
Te2 0.499 0.672 0.750
Pb1 0.282 0.534 0.250
O1 0.051 0.098 0.007
O2 0.261 0.613 0.750
O3 0.267 0.229 0.750
O4 0.389 0.750 0.000
O5 0.429 0.089 0.501

---

# Nd2Hg2Bi, optimized geometry, DFT PBE-GGA
# **E_tot**: -3.29 eV per atom
data_Nd2Hg2Bi
_chemical_formula_sum 'Nd4 Hg4 Bi2'
_cell_length_a 7.954
_cell_length_b 4.497
_cell_length_c 9.036
_cell_angle_alpha 90.00
_cell_angle_beta 90.92
_cell_angle_gamma 90.00
_symmetry_space_group_name_H-M 'C 1 2/m 1'
_symmetry_Int_Tables_number 12
loop_
_symmetry_equiv_pos_as_xyz
'x,y,z'
'-x,-y,-z'
'-x,y,-z'
'x,-y,z'
'x+1/2,y+1/2,z'
'-x+1/2,-y+1/2,-z'
'-x+1/2,y+1/2,-z'
'x+1/2,-y+1/2,z'
loop_
_atom_site_label
_atom_site_fract_x
_atom_site_fract_y
_atom_site_fract_z
Nd1 0.173 0.000 0.206
Hg1 0.160 0.000 0.591
Bi1 0.000 0.500 0.000

---

# TaGaTcPt, optimized geometry, DFT PBE-GGA
# **E_tot**: -8.17 eV per atom
data_TaGaTcPt
_chemical_formula_sum 'Ta4 Ga4 Tc4 Pt4'
_cell_length_a 6.316
_cell_length_b 6.316
_cell_length_c 6.316
_cell_angle_alpha 90.00
_cell_angle_beta 90.00
_cell_angle_gamma 90.00
_symmetry_space_group_name_H-M 'F -4 3 m'
_symmetry_Int_Tables_number 216
_symmetry_space_group_name_Hall 'F -4 2 3'
loop_
_atom_site_label
_atom_site_fract_x
_atom_site_fract_y
_atom_site_fract_z
Ta1 0.000 0.000 0.000
Ga1 0.000 0.000 0.500
Tc1 0.250 0.250 0.750
Pt1 0.250 0.250 0.250

---

# Cr2SnTe, optimized geometry, DFT PBE-GGA
# **Formation energy from raw total energies**: 0.529 eV/atom
data_Cr2SnTe
_chemical_formula_sum 'Cr8 Sn4 Te4'
_cell_length_a 6.492
_cell_length_b 6.492
_cell_length_c 6.492
_cell_angle_alpha 90.00
_cell_angle_beta 90.00
_cell_angle_gamma 90.00
_symmetry_space_group_name_H-M 'F m -3 m'
_symmetry_Int_Tables_number 225
_symmetry_space_group_name_Hall '-F 4 2 3'
loop_
_atom_site_label
_atom_site_fract_x
_atom_site_fract_y
_atom_site_fract_z
Cr1 0.250 0.250 0.250
Sn1 0.000 0.000 0.000
Te1 0.000 0.000 0.500

---

# Re2AgBiTe, optimized geometry, DFT PBE-GGA
# **Formation energy from raw total energies**: 2.514 eV/atom
data_Re2AgBiTe
_chemical_formula_sum 'Re2 Ag1 Bi1 Te1'
_cell_length_a 5.163
_cell_length_b 5.163
_cell_length_c 6.116
_cell_angle_alpha 90.00
_cell_angle_beta 90.00
_cell_angle_gamma 90.00
_symmetry_space_group_name_H-M 'P 4/m m m'
_symmetry_Int_Tables_number 123
_symmetry_space_group_name_Hall '-P 4 2'
loop_
_atom_site_label
_atom_site_fract_x
_atom_site_fract_y
_atom_site_fract_z
Re1 0.000 0.500 0.000
Ag1 0.000 0.000 0.500
Bi1 0.500 0.500 0.000
Te1 0.500 0.500 0.500

---

Taking the records one at a time from the top gives magnetization values of 0.00 0.01 0.00 0.00 0.00 0.04 0.00 0.91 0.00 0.00 2.55 6.00 μB/f.u..